This record from Alexandria describes an optimized crystal structure of MnTl2Hg. The functional is PBE-GGA.

## Properties
Formation energy from the elements = 41.77 kJ per mole of atoms

a b c (Å): 4.4111 4.4111 21.5452
angles (deg): 90.00 90.00 90.00
Space group I-42d (No. 122)
Symmetry-distinct sites (fractional):
Mn (0.0000, 0.0000, 0.0000) [4 per cell]
Tl (0.2413, 0.2500, 0.1250) [8 per cell]
Hg (0.0000, 0.0000, 0.5000) [4 per cell]